Compound: CaTb2Y7
Source: the Alexandria database
Functional: GGA-PBE
Structure: relaxed

**Electronic total energy**: -56.0 eV for the cell shown
**Crystal system**: triclinic
**Magnetic moment**: 0.0 μB/cell
**ΔH_f (0 K)**: 0.06 eV per atom

```
CaTb2Y7
1.0
-4.5707 -0.3054 4.2079
-4.6491 2.7123 -7.8769
1.4649 -7.5535 5.6075
Ca Y Tb
1 7 2
direct
0.0000 0.0000 0.0000
0.9997 0.7972 0.2022
0.5012 0.6888 0.7919
0.0003 0.2027 0.7978
0.4988 0.3112 0.2081
0.0004 0.3944 0.5999
0.9996 0.6056 0.4001
0.5000 0.5000 0.0000
0.5079 0.9004 0.5965
0.4921 0.0996 0.4035
```